Entry 1:
## Ac4AgHg2Pb (PBE)

Data for crystalline Ac4AgHg2Pb at its relaxed geometry.

Calculated values
* energy of formation from the pure elements: -0.41 eV/atom

Cell and atoms, written as CIF:
```
data_Ac4AgHg2Pb
_chemical_formula_sum 'Ac12 Ag3 Hg6 Pb3'
_space_group_name_H-M_alt 'R -3 m'
_space_group_IT_number 166
_space_group_name_Hall '-R 3 2"'
_cell_length_a 5.6983
_cell_length_b 5.6983
_cell_length_c 28.4781
_cell_angle_alpha 90.00
_cell_angle_beta 90.00
_cell_angle_gamma 120.00
loop_
_atom_site_label
_atom_site_type_symbol
_atom_site_fract_x
_atom_site_fract_y
_atom_site_fract_z
Ac1 Ac 0.0000 0.0000 0.1215
Ac2 Ac 0.0000 0.0000 0.3709
Ag1 Ag 0.0000 0.0000 0.0000
Hg1 Hg 0.0000 0.0000 0.2511
Pb1 Pb 0.0000 0.0000 0.5000
```

---

Entry 2:
## Ac2AgHg4Pb2 (PBE)

Data for crystalline Ac2AgHg4Pb2 at its relaxed geometry.

Calculated values
* energy of formation from the pure elements: -0.29 eV/atom

Cell and atoms, written as CIF:
```
data_Ac2AgHg4Pb2
_chemical_formula_sum 'Ac4 Ag2 Hg8 Pb4'
_space_group_name_H-M_alt 'I 4/m m m'
_space_group_IT_number 139
_space_group_name_Hall '-I 4 2'
_cell_length_a 7.109
_cell_length_b 7.109
_cell_length_c 10.304
_cell_angle_alpha 90.00
_cell_angle_beta 90.00
_cell_angle_gamma 90.00
loop_
_atom_site_label
_atom_site_type_symbol
_atom_site_fract_x
_atom_site_fract_y
_atom_site_fract_z
Ac1 Ac 0.000 0.500 0.250
Ag1 Ag 0.000 0.000 0.000
Hg1 Hg 0.224 0.224 0.500
Pb1 Pb 0.000 0.000 0.281
```

---

Entry 3:
## AcAgHgPb (PBE)

Data for crystalline AcAgHgPb at its relaxed geometry.

Calculated values
* energy of formation from the pure elements: -0.34 eV/atom

Cell and atoms, written as CIF:
```
data_AcAgHgPb
_chemical_formula_sum 'Ac4 Ag4 Hg4 Pb4'
_space_group_name_H-M_alt 'F -4 3 m'
_space_group_IT_number 216
_space_group_name_Hall 'F -4 2 3'
_cell_length_a 7.663
_cell_length_b 7.663
_cell_length_c 7.663
_cell_angle_alpha 90.00
_cell_angle_beta 90.00
_cell_angle_gamma 90.00
loop_
_atom_site_label
_atom_site_type_symbol
_atom_site_fract_x
_atom_site_fract_y
_atom_site_fract_z
Ac1 Ac 0.000 0.000 0.000
Ag1 Ag 0.250 0.250 0.750
Hg1 Hg 0.250 0.250 0.250
Pb1 Pb 0.000 0.000 0.500
```

---

Entry 4:
## Ac4Ag2HgPb (PBE)

Data for crystalline Ac4Ag2HgPb at its relaxed geometry.

Calculated values
* energy of formation from the pure elements: -0.38 eV/atom

Cell and atoms, written as CIF:
```
data_Ac4Ag2HgPb
_chemical_formula_sum 'Ac12 Ag6 Hg3 Pb3'
_space_group_name_H-M_alt 'R -3 m'
_space_group_IT_number 166
_space_group_name_Hall '-R 3 2"'
_cell_length_a 5.6974
_cell_length_b 5.6974
_cell_length_c 28.1170
_cell_angle_alpha 90.00
_cell_angle_beta 90.00
_cell_angle_gamma 120.00
loop_
_atom_site_label
_atom_site_type_symbol
_atom_site_fract_x
_atom_site_fract_y
_atom_site_fract_z
Ac1 Ac 0.0000 0.0000 0.1228
Ac2 Ac 0.0000 0.0000 0.3724
Ag1 Ag 0.0000 0.0000 0.2518
Hg1 Hg 0.0000 0.0000 0.0000
Pb1 Pb 0.0000 0.0000 0.5000
```

---

Entry 5:
## Ac2AgHg2Pd5 (PBE)

Data for crystalline Ac2AgHg2Pd5 at its relaxed geometry.

Calculated values
* energy of formation from the pure elements: -0.39 eV/atom

Cell and atoms, written as CIF:
```
data_Ac2AgHg2Pd5
_chemical_formula_sum 'Ac4 Ag2 Hg4 Pd10'
_space_group_name_H-M_alt 'P 4/m b m'
_space_group_IT_number 127
_space_group_name_Hall '-P 4 2ab'
_cell_length_a 10.469
_cell_length_b 10.469
_cell_length_c 4.014
_cell_angle_alpha 90.00
_cell_angle_beta 90.00
_cell_angle_gamma 90.00
loop_
_atom_site_label
_atom_site_type_symbol
_atom_site_fract_x
_atom_site_fract_y
_atom_site_fract_z
Ac1 Ac 0.176 0.324 0.000
Ag1 Ag 0.000 0.000 0.000
Hg1 Hg 0.123 0.623 0.000
Pd1 Pd 0.000 0.500 0.500
Pd2 Pd 0.049 0.804 0.500
```

---

Entry 6:
## AcAgHgPd3 (PBE)

Data for crystalline AcAgHgPd3 at its relaxed geometry.

Calculated values
* energy of formation from the pure elements: -0.33 eV/atom

Cell and atoms, written as CIF:
```
data_AcAgHgPd3
_chemical_formula_sum 'Ac4 Ag4 Hg4 Pd12'
_space_group_name_H-M_alt 'C m c m'
_space_group_IT_number 63
_space_group_name_Hall '-C 2c 2'
_cell_length_a 6.006
_cell_length_b 13.584
_cell_length_c 6.389
_cell_angle_alpha 90.00
_cell_angle_beta 90.00
_cell_angle_gamma 90.00
loop_
_atom_site_label
_atom_site_type_symbol
_atom_site_fract_x
_atom_site_fract_y
_atom_site_fract_z
Ac1 Ac 0.000 0.167 0.250
Ag1 Ag 0.000 0.389 0.250
Hg1 Hg 0.000 0.150 0.750
Pd1 Pd 0.000 0.360 0.750
Pd2 Pd 0.234 0.000 0.000
```

---

Entry 7:
## AcPm2AgHg4 (PBE)

Data for crystalline AcPm2AgHg4 at its relaxed geometry.

Calculated values
* energy of formation from the pure elements: -0.37 eV/atom

Cell and atoms, written as CIF:
```
data_AcPm2AgHg4
_chemical_formula_sum 'Ac3 Pm6 Ag3 Hg12'
_space_group_name_H-M_alt 'R -3 m'
_space_group_IT_number 166
_space_group_name_Hall '-R 3 2"'
_cell_length_a 5.1954
_cell_length_b 5.1954
_cell_length_c 28.6027
_cell_angle_alpha 90.00
_cell_angle_beta 90.00
_cell_angle_gamma 120.00
loop_
_atom_site_label
_atom_site_type_symbol
_atom_site_fract_x
_atom_site_fract_y
_atom_site_fract_z
Ac1 Ac 0.0000 0.0000 0.0000
Pm1 Pm 0.0000 0.0000 0.2351
Ag1 Ag 0.0000 0.0000 0.5000
Hg1 Hg 0.0000 0.0000 0.1260
Hg2 Hg 0.0000 0.0000 0.3878
```

---

Entry 8:
## AcPrAgHg (PBE)

Data for crystalline AcPrAgHg at its relaxed geometry.

Calculated values
* distance to the lowest polymorph of the same formula: 0 meV/atom
* energy of formation from the pure elements: -0.36 eV/atom

Cell and atoms, written as CIF:
```
data_AcPrAgHg
_chemical_formula_sum 'Ac1 Pr1 Ag1 Hg1'
_space_group_name_H-M_alt 'P 4 m m'
_space_group_IT_number 99
_cell_length_a 3.911
_cell_length_b 3.911
_cell_length_c 7.847
_cell_angle_alpha 90.00
_cell_angle_beta 90.00
_cell_angle_gamma 90.00
loop_
_space_group_symop_operation_xyz
'x,y,z'
'-y,x,z'
'-x,-y,z'
'y,-x,z'
'-x,y,z'
'y,x,z'
'x,-y,z'
'-y,-x,z'
loop_
_atom_site_label
_atom_site_type_symbol
_atom_site_fract_x
_atom_site_fract_y
_atom_site_fract_z
Ac1 Ac 0.000 0.000 0.000
Pr1 Pr 0.000 0.000 0.489
Ag1 Ag 0.500 0.500 0.262
Hg1 Hg 0.500 0.500 0.727
```

---

Entry 9:
## AcPr2Ag2Hg2 (PBE)

Data for crystalline AcPr2Ag2Hg2 at its relaxed geometry.

Calculated values
* energy of formation from the pure elements: -0.29 eV/atom

Cell and atoms, written as CIF:
```
data_AcPr2Ag2Hg2
_chemical_formula_sum 'Ac3 Pr6 Ag6 Hg6'
_space_group_name_H-M_alt 'R -3 m'
_space_group_IT_number 166
_space_group_name_Hall '-R 3 2"'
_cell_length_a 4.9645
_cell_length_b 4.9645
_cell_length_c 28.5328
_cell_angle_alpha 90.00
_cell_angle_beta 90.00
_cell_angle_gamma 120.00
loop_
_atom_site_label
_atom_site_type_symbol
_atom_site_fract_x
_atom_site_fract_y
_atom_site_fract_z
Ac1 Ac 0.0000 0.0000 0.0000
Pr1 Pr 0.0000 0.0000 0.1262
Ag1 Ag 0.0000 0.0000 0.4055
Hg1 Hg 0.0000 0.0000 0.2555
```

---

Entry 10:
## AcPrAgHg (PBE)

Data for crystalline AcPrAgHg at its relaxed geometry.

Calculated values
* distance to the lowest polymorph of the same formula: 7 meV/atom
* energy of formation from the pure elements: -0.35 eV/atom

Cell and atoms, written as CIF:
```
data_AcPrAgHg
_chemical_formula_sum 'Ac4 Pr4 Ag4 Hg4'
_space_group_name_H-M_alt 'F -4 3 m'
_space_group_IT_number 216
_space_group_name_Hall 'F -4 2 3'
_cell_length_a 7.841
_cell_length_b 7.841
_cell_length_c 7.841
_cell_angle_alpha 90.00
_cell_angle_beta 90.00
_cell_angle_gamma 90.00
loop_
_atom_site_label
_atom_site_type_symbol
_atom_site_fract_x
_atom_site_fract_y
_atom_site_fract_z
Ac1 Ac 0.000 0.000 0.000
Pr1 Pr 0.000 0.000 0.500
Ag1 Ag 0.250 0.250 0.250
Hg1 Hg 0.250 0.250 0.750
```

---

Entry 11:
## AcPuAgHg (PBE)

Data for crystalline AcPuAgHg at its relaxed geometry.

Calculated values
* energy of formation from the pure elements: -0.13 eV/atom

Cell and atoms, written as CIF:
```
data_AcPuAgHg
_chemical_formula_sum 'Ac4 Pu4 Ag4 Hg4'
_space_group_name_H-M_alt 'F -4 3 m'
_space_group_IT_number 216
_space_group_name_Hall 'F -4 2 3'
_cell_length_a 7.764
_cell_length_b 7.764
_cell_length_c 7.764
_cell_angle_alpha 90.00
_cell_angle_beta 90.00
_cell_angle_gamma 90.00
loop_
_atom_site_label
_atom_site_type_symbol
_atom_site_fract_x
_atom_site_fract_y
_atom_site_fract_z
Ac1 Ac 0.000 0.000 0.000
Pu1 Pu 0.000 0.000 0.500
Ag1 Ag 0.250 0.250 0.250
Hg1 Hg 0.250 0.250 0.750
```

---

Entry 12:
## RbAcAgHg (PBE)

Data for crystalline RbAcAgHg at its relaxed geometry.

Calculated values
* energy of formation from the pure elements: -0.04 eV/atom

Cell and atoms, written as CIF:
```
data_RbAcAgHg
_chemical_formula_sum 'Rb4 Ac4 Ag4 Hg4'
_space_group_name_H-M_alt 'F -4 3 m'
_space_group_IT_number 216
_space_group_name_Hall 'F -4 2 3'
_cell_length_a 8.133
_cell_length_b 8.133
_cell_length_c 8.133
_cell_angle_alpha 90.00
_cell_angle_beta 90.00
_cell_angle_gamma 90.00
loop_
_atom_site_label
_atom_site_type_symbol
_atom_site_fract_x
_atom_site_fract_y
_atom_site_fract_z
Rb1 Rb 0.000 0.000 0.000
Ac1 Ac 0.000 0.000 0.500
Ag1 Ag 0.250 0.250 0.250
Hg1 Hg 0.250 0.250 0.750
```

---

Entry 13:
## AcAgHgRh (PBE)

Data for crystalline AcAgHgRh at its relaxed geometry.

Calculated values
* energy of formation from the pure elements: -0.21 eV/atom

Cell and atoms, written as CIF:
```
data_AcAgHgRh
_chemical_formula_sum 'Ac4 Ag4 Hg4 Rh4'
_space_group_name_H-M_alt 'F -4 3 m'
_space_group_IT_number 216
_space_group_name_Hall 'F -4 2 3'
_cell_length_a 7.202
_cell_length_b 7.202
_cell_length_c 7.202
_cell_angle_alpha 90.00
_cell_angle_beta 90.00
_cell_angle_gamma 90.00
loop_
_atom_site_label
_atom_site_type_symbol
_atom_site_fract_x
_atom_site_fract_y
_atom_site_fract_z
Ac1 Ac 0.000 0.000 0.000
Ag1 Ag 0.250 0.250 0.250
Hg1 Hg 0.000 0.000 0.500
Rh1 Rh 0.250 0.250 0.750
```

---

Entry 14:
## AcAgHgSb (PBE)

Data for crystalline AcAgHgSb at its relaxed geometry.

Calculated values
* ΔE_f (raw): -149 kJ/mol of formula units

Cell and atoms, written as CIF:
```
data_AcAgHgSb
_chemical_formula_sum 'Ac4 Ag4 Hg4 Sb4'
_space_group_name_H-M_alt 'F -4 3 m'
_space_group_IT_number 216
_space_group_name_Hall 'F -4 2 3'
_cell_length_a 7.604
_cell_length_b 7.604
_cell_length_c 7.604
_cell_angle_alpha 90.00
_cell_angle_beta 90.00
_cell_angle_gamma 90.00
loop_
_atom_site_label
_atom_site_type_symbol
_atom_site_fract_x
_atom_site_fract_y
_atom_site_fract_z
Ac1 Ac 0.000 0.000 0.000
Ag1 Ag 0.250 0.250 0.250
Hg1 Hg 0.250 0.250 0.750
Sb1 Sb 0.000 0.000 0.500
```

---

Entry 15:
## Ac2ScAgHg6 (PBE)

Data for crystalline Ac2ScAgHg6 at its relaxed geometry.

Calculated values
* energy of formation from the pure elements: -0.11 eV/atom

Cell and atoms, written as CIF:
```
data_Ac2ScAgHg6
_chemical_formula_sum 'Ac8 Sc4 Ag4 Hg24'
_space_group_name_H-M_alt 'F m -3 m'
_space_group_IT_number 225
_space_group_name_Hall '-F 4 2 3'
_cell_length_a 10.697
_cell_length_b 10.697
_cell_length_c 10.697
_cell_angle_alpha 90.00
_cell_angle_beta 90.00
_cell_angle_gamma 90.00
loop_
_atom_site_label
_atom_site_type_symbol
_atom_site_fract_x
_atom_site_fract_y
_atom_site_fract_z
Ac1 Ac 0.250 0.250 0.250
Sc1 Sc 0.000 0.000 0.000
Ag1 Ag 0.000 0.000 0.500
Hg1 Hg 0.000 0.000 0.251
```

---

Entry 16:
## AcSc2AgHg4 (PBE)

Data for crystalline AcSc2AgHg4 at its relaxed geometry.

Calculated values
* energy of formation from the pure elements: -0.31 eV/atom

Cell and atoms, written as CIF:
```
data_AcSc2AgHg4
_chemical_formula_sum 'Ac3 Sc6 Ag3 Hg12'
_space_group_name_H-M_alt 'R -3 m'
_space_group_IT_number 166
_space_group_name_Hall '-R 3 2"'
_cell_length_a 4.8832
_cell_length_b 4.8832
_cell_length_c 29.1472
_cell_angle_alpha 90.00
_cell_angle_beta 90.00
_cell_angle_gamma 120.00
loop_
_atom_site_label
_atom_site_type_symbol
_atom_site_fract_x
_atom_site_fract_y
_atom_site_fract_z
Ac1 Ac 0.0000 0.0000 0.0000
Sc1 Sc 0.0000 0.0000 0.2295
Ag1 Ag 0.0000 0.0000 0.5000
Hg1 Hg 0.0000 0.0000 0.1252
Hg2 Hg 0.0000 0.0000 0.3972
```

---

Entry 17:
## Ac2AgHgSe5 (PBE)

Data for crystalline Ac2AgHgSe5 at its relaxed geometry.

Calculated values
* ΔE_f (raw): -969 kJ/mol of formula units

Cell and atoms, written as CIF:
```
data_Ac2AgHgSe5
_chemical_formula_sum 'Ac8 Ag4 Hg4 Se20'
_space_group_name_H-M_alt 'C m c 21'
_space_group_IT_number 36
_cell_length_a 4.374
_cell_length_b 18.188
_cell_length_c 12.478
_cell_angle_alpha 90.00
_cell_angle_beta 90.00
_cell_angle_gamma 90.00
loop_
_space_group_symop_operation_xyz
'x,y,z'
'-x,-y,z+1/2'
'-x,y,z'
'x,-y,z+1/2'
'x+1/2,y+1/2,z'
'-x+1/2,-y+1/2,z+1/2'
'-x+1/2,y+1/2,z'
'x+1/2,-y+1/2,z+1/2'
loop_
_atom_site_label
_atom_site_type_symbol
_atom_site_fract_x
_atom_site_fract_y
_atom_site_fract_z
Ac1 Ac 0.000 0.116 0.000
Ac2 Ac 0.000 0.137 0.613
Ag1 Ag 0.000 0.206 0.319
Hg1 Hg 0.000 0.461 0.768
Se1 Se 0.000 0.056 0.380
Se2 Se 0.000 0.286 0.971
Se3 Se 0.000 0.307 0.655
Se4 Se 0.000 0.359 0.309
Se5 Se 0.000 0.494 0.071
```

---

Entry 18:
## AcSiAgHg (PBE)

Data for crystalline AcSiAgHg at its relaxed geometry.

Calculated values
* ΔE_f (raw): -69 kJ/mol of formula units

Cell and atoms, written as CIF:
```
data_AcSiAgHg
_chemical_formula_sum 'Ac4 Si4 Ag4 Hg4'
_space_group_name_H-M_alt 'F -4 3 m'
_space_group_IT_number 216
_space_group_name_Hall 'F -4 2 3'
_cell_length_a 7.385
_cell_length_b 7.385
_cell_length_c 7.385
_cell_angle_alpha 90.00
_cell_angle_beta 90.00
_cell_angle_gamma 90.00
loop_
_atom_site_label
_atom_site_type_symbol
_atom_site_fract_x
_atom_site_fract_y
_atom_site_fract_z
Ac1 Ac 0.000 0.000 0.000
Si1 Si 0.250 0.250 0.750
Ag1 Ag 0.000 0.000 0.500
Hg1 Hg 0.250 0.250 0.250
```

---

Entry 19:
## AcSm2Ag2Hg2 (PBE)

Data for crystalline AcSm2Ag2Hg2 at its relaxed geometry.

Calculated values
* energy of formation from the pure elements: -0.28 eV/atom

Cell and atoms, written as CIF:
```
data_AcSm2Ag2Hg2
_chemical_formula_sum 'Ac3 Sm6 Ag6 Hg6'
_space_group_name_H-M_alt 'R -3 m'
_space_group_IT_number 166
_space_group_name_Hall '-R 3 2"'
_cell_length_a 4.9409
_cell_length_b 4.9409
_cell_length_c 28.0136
_cell_angle_alpha 90.00
_cell_angle_beta 90.00
_cell_angle_gamma 120.00
loop_
_atom_site_label
_atom_site_type_symbol
_atom_site_fract_x
_atom_site_fract_y
_atom_site_fract_z
Ac1 Ac 0.0000 0.0000 0.0000
Sm1 Sm 0.0000 0.0000 0.1270
Ag1 Ag 0.0000 0.0000 0.4089
Hg1 Hg 0.0000 0.0000 0.2525
```

---

Entry 20:
## Ac2AgSnHg6 (PBE)

Data for crystalline Ac2AgSnHg6 at its relaxed geometry.

Calculated values
* energy of formation from the pure elements: -0.18 eV/atom

Cell and atoms, written as CIF:
```
data_Ac2AgSnHg6
_chemical_formula_sum 'Ac4 Ag2 Sn2 Hg12'
_space_group_name_H-M_alt 'P m m n'
_space_group_IT_number 59
_cell_length_a 5.974
_cell_length_b 9.331
_cell_length_c 10.456
_cell_angle_alpha 90.00
_cell_angle_beta 90.00
_cell_angle_gamma 90.00
loop_
_space_group_symop_operation_xyz
'x,y,z'
'-x,-y,-z'
'-x+1/2,-y+1/2,z'
'x+1/2,y+1/2,-z'
'x+1/2,-y,-z'
'-x+1/2,y,z'
'-x,y+1/2,-z'
'x,-y+1/2,z'
loop_
_atom_site_label
_atom_site_type_symbol
_atom_site_fract_x
_atom_site_fract_y
_atom_site_fract_z
Ac1 Ac 0.250 0.008 0.240
Ag1 Ag 0.250 0.250 0.761
Sn1 Sn 0.250 0.750 0.776
Hg1 Hg 0.000 0.250 0.984
Hg2 Hg 0.003 0.750 0.482
Hg3 Hg 0.250 0.505 0.602
```